## LiMnCo2 (GGA-PBE)

Data for an optimized crystal structure of LiMnCo2.

Structure (POSCAR):
```
LiMnCo2
1.0
-0.2555 -0.1156 4.8117
4.2748 -0.3278 -1.9462
0.8638 2.2143 0.5965
Mn Co Li
1 2 1
direct
0.5000 0.5000 0.0000
0.5000 0.0000 0.5000
0.0000 0.0000 0.0000
0.0000 0.5000 0.5000
```

Values from the calculation:
formation energy from the elements: 16.9 kJ/mol of atoms
symmetry: C2/m
magnetic moment: 6.02 μB per formula unit